# 1
# TbNd2Sm9 (GGA-PBE, relaxed)
data_TbNd2Sm9
_cell_length_a 11.4789
_cell_length_b 11.4789
_cell_length_c 3.5430
_cell_angle_alpha 90.00
_cell_angle_beta 90.00
_cell_angle_gamma 120.00
_space_group_name_H-M_alt 'P 6/m m m'
_space_group_IT_number 191
_space_group_name_Hall '-P 6 2'
loop_
_atom_site_label
_atom_site_fract_x
_atom_site_fract_y
_atom_site_fract_z
_atom_site_occupancy
Tb1 0.0000 0.0000 0.0000 1
Nd1 0.3333 0.6667 0.0000 1
Sm1 0.0000 0.5000 0.0000 1
Sm2 0.1724 0.3448 0.5000 1
# VASP energy, eV/atom: -4.67
# Energy above the most stable polymorph in this dataset, eV per atom: 0.0325
# DOS(E_F), states/eV/f.u.: 15.30
# Total magnetic moment, μB per formula unit: 0.00
# ΔH_f (0 K), eV/atom: 0.05
# Crystal system: hexagonal

***

# 2
# Tb3NdSm (GGA-PBE, relaxed)
data_Tb3NdSm
_cell_length_a 6.228
_cell_length_b 6.232
_cell_length_c 9.513
_cell_angle_alpha 71.10
_cell_angle_beta 70.98
_cell_angle_gamma 80.48
_space_group_name_H-M_alt 'P -1'
_space_group_IT_number 2
loop_
_space_group_symop_operation_xyz
'x,y,z'
'-x,-y,-z'
loop_
_atom_site_label
_atom_site_fract_x
_atom_site_fract_y
_atom_site_fract_z
_atom_site_occupancy
Tb1 0.052 0.250 0.149 1
Tb2 0.149 0.751 0.449 1
Tb3 0.350 0.750 0.050 1
Nd1 0.450 0.252 0.349 1
Sm1 0.248 0.250 0.751 1
# VASP energy, eV/atom: -4.66
# Energy above the most stable polymorph in this dataset, eV per atom: 0.0000
# DOS(E_F), states/eV/f.u.: 7.07
# Total magnetic moment, μB per formula unit: 0.00
# ΔH_f (0 K), eV/atom: 0.01
# Crystal system: triclinic

***

# 3
# Tb12NdSm6 (GGA-PBE, relaxed)
data_Tb12NdSm6
_cell_length_a 13.2877
_cell_length_b 13.2877
_cell_length_c 12.6689
_cell_angle_alpha 90.00
_cell_angle_beta 90.00
_cell_angle_gamma 120.00
_space_group_name_H-M_alt 'R -3 m'
_space_group_IT_number 166
_space_group_name_Hall '-R 3 2"'
loop_
_atom_site_label
_atom_site_fract_x
_atom_site_fract_y
_atom_site_fract_z
_atom_site_occupancy
Tb1 0.0000 0.2583 0.0000 1
Tb2 0.0912 0.1824 0.7651 1
Nd1 0.0000 0.0000 0.5000 1
Sm1 0.0386 0.5193 0.1174 1
# VASP energy, eV/atom: -4.46
# Energy above the most stable polymorph in this dataset, eV per atom: 0.0587
# DOS(E_F), states/eV/f.u.: 32.76
# Total magnetic moment, μB per formula unit: 0.00
# ΔH_f (0 K), eV/atom: 0.21
# Crystal system: trigonal

***

# 4
# Tb6NdSm5 (GGA-PBE, relaxed)
data_Tb6NdSm5
_cell_length_a 5.089
_cell_length_b 10.165
_cell_length_c 15.270
_cell_angle_alpha 90.00
_cell_angle_beta 90.00
_cell_angle_gamma 90.00
_space_group_name_H-M_alt 'I m m m'
_space_group_IT_number 71
_space_group_name_Hall '-I 2 2'
loop_
_atom_site_label
_atom_site_fract_x
_atom_site_fract_y
_atom_site_fract_z
_atom_site_occupancy
Tb1 0.000 0.249 0.000 1
Tb2 0.000 0.250 0.333 1
Nd1 0.000 0.000 0.500 1
Sm1 0.000 0.000 0.167 1
Sm2 0.000 0.500 0.167 1
Sm3 0.000 0.500 0.500 1
# VASP energy, eV/atom: -4.66
# DOS(E_F), states/eV/f.u.: 16.83
# Total magnetic moment, μB per formula unit: 0.00
# ΔH_f (0 K), eV/atom: 0.02
# Crystal system: orthorhombic

***

# 5
# Tb2Nd5Sm (GGA-PBE, relaxed)
data_Tb2Nd5Sm
_cell_length_a 7.242
_cell_length_b 10.171
_cell_length_c 8.029
_cell_angle_alpha 90.00
_cell_angle_beta 103.24
_cell_angle_gamma 90.00
_space_group_name_H-M_alt 'P 1 21/m 1'
_space_group_IT_number 11
loop_
_space_group_symop_operation_xyz
'x,y,z'
'-x,-y,-z'
'-x,y+1/2,-z'
'x,-y+1/2,z'
loop_
_atom_site_label
_atom_site_fract_x
_atom_site_fract_y
_atom_site_fract_z
_atom_site_occupancy
Tb1 0.093 0.091 0.365 1
Nd1 0.246 0.530 0.998 1
Nd2 0.412 0.594 0.638 1
Nd3 0.424 0.250 0.723 1
Sm1 0.067 0.750 0.280 1
# VASP energy, eV/atom: -4.50
# Energy above the most stable polymorph in this dataset, eV per atom: 0.2114
# DOS(E_F), states/eV/f.u.: 11.41
# Total magnetic moment, μB per formula unit: 0.00
# ΔH_f (0 K), eV/atom: 0.23
# Crystal system: monoclinic

***

# 6
# Tb5Nd12Sm2 (GGA-PBE, relaxed)
data_Tb5Nd12Sm2
_cell_length_a 18.093
_cell_length_b 11.794
_cell_length_c 6.268
_cell_angle_alpha 90.00
_cell_angle_beta 102.66
_cell_angle_gamma 90.00
_space_group_name_H-M_alt 'C 1 2/m 1'
_space_group_IT_number 12
loop_
_space_group_symop_operation_xyz
'x,y,z'
'-x,-y,-z'
'-x,y,-z'
'x,-y,z'
'x+1/2,y+1/2,z'
'-x+1/2,-y+1/2,-z'
'-x+1/2,y+1/2,-z'
'x+1/2,-y+1/2,z'
loop_
_atom_site_label
_atom_site_fract_x
_atom_site_fract_y
_atom_site_fract_z
_atom_site_occupancy
Tb1 0.000 0.000 0.000 1
Tb2 0.177 0.500 0.358 1
Tb3 0.214 0.000 0.050 1
Nd1 0.056 0.500 0.774 1
Nd2 0.104 0.250 0.116 1
Nd3 0.122 0.000 0.497 1
Nd4 0.198 0.258 0.700 1
Sm1 0.000 0.228 0.500 1
# VASP energy, eV/atom: -4.63
# Energy above the most stable polymorph in this dataset, eV per atom: 0.0000
# DOS(E_F), states/eV/f.u.: 26.92
# Total magnetic moment, μB per formula unit: 0.00
# ΔH_f (0 K), eV/atom: 0.10
# Crystal system: monoclinic

***

# 7
# Tb5NdSm5 (GGA-PBE, relaxed)
data_Tb5NdSm5
_cell_length_a 6.1423
_cell_length_b 6.1423
_cell_length_c 11.6763
_cell_angle_alpha 90.00
_cell_angle_beta 90.00
_cell_angle_gamma 120.00
_space_group_name_H-M_alt 'P -6 m 2'
_space_group_IT_number 187
_space_group_name_Hall 'P -6 2'
loop_
_atom_site_label
_atom_site_fract_x
_atom_site_fract_y
_atom_site_fract_z
_atom_site_occupancy
Tb1 0.0000 0.0000 0.2343 1
Tb2 0.3351 0.1675 0.0000 1
Nd1 0.3333 0.6667 0.5000 1
Sm1 0.0000 0.0000 0.5000 1
Sm2 0.3333 0.6667 0.1766 1
Sm3 0.6667 0.3333 0.3426 1
# VASP energy, eV/atom: -4.39
# DOS(E_F), states/eV/f.u.: 19.30
# Total magnetic moment, μB per formula unit: 0.00
# ΔH_f (0 K), eV/atom: 0.30
# Crystal system: hexagonal

***

# 8
# Tb5NdSm2 (GGA-PBE, relaxed)
data_Tb5NdSm2
_cell_length_a 6.317
_cell_length_b 6.822
_cell_length_c 12.356
_cell_angle_alpha 85.56
_cell_angle_beta 89.99
_cell_angle_gamma 89.90
_space_group_name_H-M_alt 'P -1'
_space_group_IT_number 2
loop_
_space_group_symop_operation_xyz
'x,y,z'
'-x,-y,-z'
loop_
_atom_site_label
_atom_site_fract_x
_atom_site_fract_y
_atom_site_fract_z
_atom_site_occupancy
Tb1 0.165 0.066 0.310 1
Tb2 0.166 0.814 0.062 1
Tb3 0.167 0.561 0.815 1
Tb4 0.333 0.313 0.061 1
Tb5 0.334 0.058 0.815 1
Nd1 0.334 0.566 0.310 1
Sm1 0.165 0.310 0.564 1
Sm2 0.334 0.813 0.563 1
# VASP energy, eV/atom: -4.65
# Energy above the most stable polymorph in this dataset, eV per atom: 0.0053
# DOS(E_F), states/eV/f.u.: 13.80
# Total magnetic moment, μB per formula unit: 0.00
# ΔH_f (0 K), eV/atom: 0.02
# Crystal system: triclinic